# 1
! Y4Ho3Bi4 (PBE, relaxed); values from VASP
! E_form = -0.544 eV per atom
! symmetry = Immm, No. 71
&SYSTEM
  ibrav = 0, nat = 11, ntyp = 3
/
ATOMIC_SPECIES
Y 88.91 Y.upf
Ho 164.93 Ho.upf
Bi 208.98 Bi.upf
CELL_PARAMETERS angstrom
4.077 0.000 0.000
0.000 9.318 0.000
-2.038 -4.659 8.892
ATOMIC_POSITIONS crystal
Y 0.334 0.150 0.669
Y 0.666 0.481 0.331
Y 0.666 0.850 0.331
Y 0.334 0.519 0.669
Ho 0.102 0.102 0.204
Ho 0.898 0.898 0.796
Ho 0.000 0.500 0.000
Bi 0.263 0.763 0.526
Bi 0.737 0.237 0.474
Bi 0.500 0.796 0.000
Bi 0.500 0.204 0.000



# 2
! CsZnAgHg2 (PBE, relaxed); values from VASP
! E_form = -0.031 eV per atom
! symmetry = P4/mmm, No. 123
! offset from the most stable computed form = 0 meV/atom
&SYSTEM
  ibrav = 0, nat = 5, ntyp = 4
/
ATOMIC_SPECIES
Cs 132.91 Cs.upf
Zn 65.41 Zn.upf
Hg 200.59 Hg.upf
Ag 107.87 Ag.upf
CELL_PARAMETERS angstrom
5.572 0.000 0.000
0.000 5.572 0.000
0.000 0.000 5.251
ATOMIC_POSITIONS crystal
Cs 0.500 0.500 0.500
Zn 0.000 0.000 0.000
Hg 0.000 0.500 0.000
Hg 0.500 0.000 0.000
Ag 0.000 0.000 0.500



# 3
! Er2GaNi3 (PBE, relaxed); values from VASP
! E_form = -0.548 eV per atom
! symmetry = P6_3/mmc, No. 194
! offset from the most stable computed form = 0 meV/atom
&SYSTEM
  ibrav = 0, nat = 12, ntyp = 3
/
ATOMIC_SPECIES
Er 167.26 Er.upf
Ga 69.72 Ga.upf
Ni 58.69 Ni.upf
CELL_PARAMETERS angstrom
5.209 0.000 0.000
-2.605 4.511 0.000
0.000 0.000 8.159
ATOMIC_POSITIONS crystal
Er 0.667 0.333 0.440
Er 0.333 0.667 0.560
Er 0.333 0.667 0.940
Er 0.667 0.333 0.060
Ga 0.000 0.000 0.500
Ga 0.000 0.000 0.000
Ni 0.169 0.338 0.250
Ni 0.338 0.169 0.750
Ni 0.831 0.662 0.750
Ni 0.169 0.831 0.250
Ni 0.831 0.169 0.750
Ni 0.662 0.831 0.250



# 4
! Pm2Ga3Ni4 (PBE, relaxed); values from VASP
! E_form = -0.500 eV per atom
! symmetry = Cmce, No. 64
&SYSTEM
  ibrav = 0, nat = 18, ntyp = 3
/
ATOMIC_SPECIES
Pm 145.00 Pm.upf
Ga 69.72 Ga.upf
Ni 58.69 Ni.upf
CELL_PARAMETERS angstrom
-5.056 -0.468 -2.197
-2.443 -2.392 6.132
0.928 7.393 3.254
ATOMIC_POSITIONS crystal
Pm 0.107 0.585 0.213
Pm 0.893 0.415 0.787
Pm 0.393 0.085 0.787
Pm 0.607 0.915 0.213
Ga 0.000 0.000 0.000
Ga 0.500 0.500 0.000
Ga 0.516 0.750 0.533
Ga 0.984 0.250 0.467
Ga 0.484 0.250 0.467
Ga 0.016 0.750 0.533
Ni 0.679 0.750 0.858
Ni 0.821 0.250 0.142
Ni 0.321 0.250 0.142
Ni 0.179 0.750 0.858
Ni 0.172 0.992 0.343
Ni 0.828 0.008 0.657
Ni 0.328 0.492 0.657
Ni 0.672 0.508 0.343



# 5
! SbTe2PAu (PBE, relaxed); values from VASP
! raw formation energy = 0.955 eV/atom
! symmetry = P4/mmm, No. 123
! offset from the most stable computed form = 260 meV/atom
&SYSTEM
  ibrav = 0, nat = 5, ntyp = 4
/
ATOMIC_SPECIES
Sb 121.76 Sb.upf
Te 127.60 Te.upf
Au 196.97 Au.upf
P 30.97 P.upf
CELL_PARAMETERS angstrom
5.410 0.000 0.000
0.000 5.410 0.000
0.000 0.000 5.297
ATOMIC_POSITIONS crystal
Sb 0.000 0.000 0.500
Te 0.000 0.500 0.000
Te 0.500 0.000 0.000
Au 0.000 0.000 0.000
P 0.500 0.500 0.500



# 6
! CeHfTa (PBE, relaxed); values from VASP
! E_form = 0.094 eV per atom
! symmetry = P4/nmm, No. 129
&SYSTEM
  ibrav = 0, nat = 6, ntyp = 3
/
ATOMIC_SPECIES
Ce 140.12 Ce.upf
Hf 178.49 Hf.upf
Ta 180.95 Ta.upf
CELL_PARAMETERS angstrom
3.163 1.178 0.087
1.998 4.327 -0.268
0.450 -2.094 12.101
ATOMIC_POSITIONS crystal
Ce 0.095 0.170 0.311
Ce 0.284 0.481 0.122
Hf 0.904 0.861 0.502
Hf 0.476 0.790 0.931
Ta 0.751 0.514 0.655
Ta 0.628 0.137 0.779



no.,size of the total moment (μB/atom)
1,0.25
2,0.00
3,0.00
4,0.00
5,0.00
6,0.00